Material: Pr2Y3Tl4
Method: DFT, GGA-PBE
State: relaxed

Structure (CIF):
```
data_Pr2Y3Tl4
_symmetry_space_group_name_H-M 'C m c e'
_symmetry_Int_Tables_number 64
_symmetry_space_group_name_Hall '-C 2ac 2'
_cell_length_a 7.235
_cell_length_b 16.719
_cell_length_c 9.187
_cell_angle_alpha 90.00
_cell_angle_beta 90.00
_cell_angle_gamma 90.00
loop_
_atom_site_label
_atom_site_type_symbol
_atom_site_fract_x
_atom_site_fract_y
_atom_site_fract_z
Pr1 Pr 0.000 0.109 0.078
Y1 Y 0.000 0.000 0.500
Y2 Y 0.250 0.214 0.750
Tl1 Tl 0.000 0.186 0.458
Tl2 Tl 0.250 0.031 0.750
```

Calculated values
- total magnetization (μB per formula unit) = 0.00
- energy of formation (eV/atom) = -0.272

Material: LaCePm2Bi4
Method: DFT, GGA-PBE
State: relaxed

Structure (CIF):
```
data_LaCePm2Bi4
_symmetry_space_group_name_H-M 'P 1 2/m 1'
_symmetry_Int_Tables_number 10
_symmetry_space_group_name_Hall '-P 2y'
_cell_length_a 7.991
_cell_length_b 4.619
_cell_length_c 8.001
_cell_angle_alpha 90.00
_cell_angle_beta 109.48
_cell_angle_gamma 90.00
loop_
_atom_site_label
_atom_site_type_symbol
_atom_site_fract_x
_atom_site_fract_y
_atom_site_fract_z
La1 La 0.000 0.000 0.000
Ce1 Ce 0.000 0.500 0.500
Pm1 Pm 0.500 0.000 0.500
Pm2 Pm 0.500 0.500 0.000
Bi1 Bi 0.252 0.000 0.748
Bi2 Bi 0.254 0.500 0.254
```

Calculated values
- total magnetization (μB per formula unit) = 0.80
- energy of formation (eV/atom) = -0.934

Material: Si2Te
Method: DFT, GGA-PBE
State: relaxed

Structure (CIF):
```
data_Si2Te
_symmetry_space_group_name_H-M 'P n m a'
_symmetry_Int_Tables_number 62
_symmetry_space_group_name_Hall '-P 2ac 2n'
_cell_length_a 6.731
_cell_length_b 3.989
_cell_length_c 9.915
_cell_angle_alpha 90.00
_cell_angle_beta 90.00
_cell_angle_gamma 90.00
loop_
_atom_site_label
_atom_site_type_symbol
_atom_site_fract_x
_atom_site_fract_y
_atom_site_fract_z
Si1 Si 0.020 0.250 0.069
Si2 Si 0.239 0.750 0.756
Te1 Te 0.050 0.750 0.366
```

Calculated values
- E_form (uncorrected) (eV/atom) = 0.19
- total magnetization (μB per formula unit) = 0.00

Material: H3IrO
Method: DFT, GGA-PBE
State: relaxed

Structure (CIF):
```
data_H3IrO
_symmetry_space_group_name_H-M 'P m -3 m'
_symmetry_Int_Tables_number 221
_symmetry_space_group_name_Hall '-P 4 2 3'
_cell_length_a 3.420
_cell_length_b 3.420
_cell_length_c 3.420
_cell_angle_alpha 90.00
_cell_angle_beta 90.00
_cell_angle_gamma 90.00
loop_
_atom_site_label
_atom_site_type_symbol
_atom_site_fract_x
_atom_site_fract_y
_atom_site_fract_z
H1 H 0.000 0.000 0.500
Ir1 Ir 0.000 0.000 0.000
O1 O 0.500 0.500 0.500
```

Calculated values
- total magnetization (μB per formula unit) = 2.13
- DFT total energy (eV per atom) = -4.007

Material: Sm8Ag3Sb2
Method: DFT, GGA-PBE
State: relaxed

Structure (CIF):
```
data_Sm8Ag3Sb2
_symmetry_space_group_name_H-M 'C 1 2/m 1'
_symmetry_Int_Tables_number 12
_symmetry_space_group_name_Hall '-C 2y'
_cell_length_a 15.159
_cell_length_b 8.465
_cell_length_c 6.240
_cell_angle_alpha 90.00
_cell_angle_beta 91.36
_cell_angle_gamma 90.00
loop_
_atom_site_label
_atom_site_type_symbol
_atom_site_fract_x
_atom_site_fract_y
_atom_site_fract_z
Sm1 Sm 0.088 0.000 0.359
Sm2 Sm 0.115 0.212 0.861
Sm3 Sm 0.181 0.500 0.397
Ag1 Ag 0.000 0.332 0.500
Ag2 Ag 0.000 0.500 0.000
Sb1 Sb 0.239 0.500 0.907
```

Calculated values
- E_form (uncorrected) (eV/atom) = -0.30
- total magnetization (μB per formula unit) = 0.00

Material: LaTbTmCo
Method: DFT, GGA-PBE
State: relaxed

Structure (CIF):
```
data_LaTbTmCo
_symmetry_space_group_name_H-M 'A m m 2'
_symmetry_Int_Tables_number 38
_symmetry_space_group_name_Hall 'A 2 -2'
_cell_length_a 3.495
_cell_length_b 4.682
_cell_length_c 13.334
_cell_angle_alpha 90.00
_cell_angle_beta 90.00
_cell_angle_gamma 90.00
loop_
_atom_site_label
_atom_site_type_symbol
_atom_site_fract_x
_atom_site_fract_y
_atom_site_fract_z
La1 La 0.000 0.000 0.000
Tb1 Tb 0.500 0.000 0.658
Tm1 Tm 0.500 0.000 0.336
Co1 Co 0.000 0.000 0.817
```

Calculated values
- total magnetization (μB per formula unit) = 0.00
- energy of formation (eV/atom) = -0.013

Material: Ho2BeGa3
Method: DFT, GGA-PBE
State: relaxed

Structure (CIF):
```
data_Ho2BeGa3
_symmetry_space_group_name_H-M 'F m m m'
_symmetry_Int_Tables_number 69
_symmetry_space_group_name_Hall '-F 2 2'
_cell_length_a 7.430
_cell_length_b 8.452
_cell_length_c 14.635
_cell_angle_alpha 90.00
_cell_angle_beta 90.00
_cell_angle_gamma 90.00
loop_
_atom_site_label
_atom_site_type_symbol
_atom_site_fract_x
_atom_site_fract_y
_atom_site_fract_z
Ho1 Ho 0.246 0.000 0.000
Ho2 Ho 0.250 0.250 0.250
Be1 Be 0.000 0.000 0.333
Ga1 Ga 0.000 0.000 0.174
Ga2 Ga 0.000 0.239 0.413
```

Calculated values
- total magnetization (μB per formula unit) = 0.00
- energy of formation (eV/atom) = -0.538

Material: BeCd2Ni
Method: DFT, GGA-PBE
State: relaxed

Structure (CIF):
```
data_BeCd2Ni
_symmetry_space_group_name_H-M 'P 1 2/m 1'
_symmetry_Int_Tables_number 10
_symmetry_space_group_name_Hall '-P 2y'
_cell_length_a 4.581
_cell_length_b 2.971
_cell_length_c 4.852
_cell_angle_alpha 90.00
_cell_angle_beta 109.61
_cell_angle_gamma 90.00
loop_
_atom_site_label
_atom_site_type_symbol
_atom_site_fract_x
_atom_site_fract_y
_atom_site_fract_z
Be1 Be 0.000 0.000 0.000
Cd1 Cd 0.500 0.000 0.500
Cd2 Cd 0.500 0.500 0.000
Ni1 Ni 0.000 0.500 0.500
```

Calculated values
- total magnetization (μB per formula unit) = 0.00
- energy of formation (eV/atom) = 0.320